i.
! Ag2SnS4 GGA-PBE relaxed; values from VASP
&SYSTEM
  ibrav = 0, nat = 7, ntyp = 3
/
ATOMIC_SPECIES
S 32.06 S.upf
Sn 118.71 Sn.upf
Ag 107.87 Ag.upf
ATOMIC_POSITIONS crystal
S 0.198 0.198 0.603
S 0.802 0.802 0.397
S 0.000 0.500 0.000
S 0.500 0.000 0.000
Sn 0.000 0.000 0.000
Ag 0.392 0.392 0.217
Ag 0.608 0.608 0.783
CELL_PARAMETERS angstrom
5.156 0.000 0.000
0.000 5.156 0.000
2.578 2.578 6.286
! space group = No. 139
! volume = 167.1 Å³/cell

ii.
! Ag2SnS4 GGA-PBE relaxed; values from VASP
&SYSTEM
  ibrav = 0, nat = 14, ntyp = 3
/
ATOMIC_SPECIES
Ag 107.87 Ag.upf
Sn 118.71 Sn.upf
S 32.06 S.upf
ATOMIC_POSITIONS crystal
Ag 0.114 0.136 0.636
Ag 0.500 0.000 0.000
Ag 0.500 0.500 0.500
Ag 0.886 0.864 0.364
Sn 0.000 0.500 0.000
Sn 0.500 0.500 0.000
S 0.255 0.262 0.228
S 0.255 0.728 0.762
S 0.263 0.260 0.760
S 0.717 0.260 0.760
S 0.283 0.740 0.240
S 0.745 0.272 0.238
S 0.737 0.740 0.240
S 0.745 0.738 0.772
CELL_PARAMETERS angstrom
7.656 0.000 0.000
3.828 6.548 -0.057
3.828 2.078 6.210
! space group = No. 74
! volume = 312.2 Å³/cell

On energetic grounds, ii is preferred over the next structure by 442 meV/atom.

i.
! AgSn3S GGA-PBE relaxed; values from VASP
&SYSTEM
  ibrav = 0, nat = 5, ntyp = 3
/
ATOMIC_SPECIES
S 32.06 S.upf
Sn 118.71 Sn.upf
Ag 107.87 Ag.upf
ATOMIC_POSITIONS crystal
S 0.500 0.500 0.500
Sn 0.000 0.500 0.000
Sn 0.000 0.000 0.500
Sn 0.500 0.000 0.000
Ag 0.000 0.000 0.000
CELL_PARAMETERS angstrom
-1.198 -1.406 -4.977
-3.487 -3.553 1.843
-3.819 3.686 -0.121
! space group = No. 221
! volume = 149.6 Å³/cell

ii.
! AgSn3S GGA-PBE relaxed; values from VASP
&SYSTEM
  ibrav = 0, nat = 5, ntyp = 3
/
ATOMIC_SPECIES
S 32.06 S.upf
Sn 118.71 Sn.upf
Ag 107.87 Ag.upf
ATOMIC_POSITIONS crystal
S 0.000 0.000 0.000
Sn 0.000 0.500 0.000
Sn 0.000 0.000 0.500
Sn 0.500 0.000 0.000
Ag 0.500 0.500 0.500
CELL_PARAMETERS angstrom
-2.011 -4.533 1.954
4.920 -2.013 0.395
0.402 1.952 4.943
! space group = No. 221
! volume = 151.4 Å³/cell

On energetic grounds, ii is preferred over the next structure by 109 meV/atom.

i.
! Ag2Sn2S GGA-PBE relaxed; values from VASP
&SYSTEM
  ibrav = 0, nat = 10, ntyp = 3
/
ATOMIC_SPECIES
S 32.06 S.upf
Sn 118.71 Sn.upf
Ag 107.87 Ag.upf
ATOMIC_POSITIONS crystal
S 0.000 0.000 0.000
S 0.500 0.500 0.000
Sn 0.162 0.662 0.500
Sn 0.662 0.838 0.500
Sn 0.838 0.338 0.500
Sn 0.338 0.162 0.500
Ag 0.362 0.862 0.000
Ag 0.862 0.638 0.000
Ag 0.638 0.138 0.000
Ag 0.138 0.362 0.000
CELL_PARAMETERS angstrom
-2.163 -0.125 -6.831
6.575 -1.986 -2.046
-1.136 -4.211 0.437
! space group = No. 127
! volume = 225.1 Å³/cell

ii.
! Ag2Sn2S GGA-PBE relaxed; values from VASP
&SYSTEM
  ibrav = 0, nat = 10, ntyp = 3
/
ATOMIC_SPECIES
S 32.06 S.upf
Sn 118.71 Sn.upf
Ag 107.87 Ag.upf
ATOMIC_POSITIONS crystal
S 0.000 0.000 0.000
S 0.500 0.500 0.000
Sn 0.319 0.819 0.000
Sn 0.819 0.681 0.000
Sn 0.681 0.181 0.000
Sn 0.181 0.319 0.000
Ag 0.126 0.626 0.500
Ag 0.626 0.874 0.500
Ag 0.874 0.374 0.500
Ag 0.374 0.126 0.500
CELL_PARAMETERS angstrom
7.707 0.000 0.000
0.000 7.707 0.000
0.000 0.000 3.943
! space group = No. 127
! volume = 234.2 Å³/cell

On energetic grounds, i is preferred over the next structure by 9 meV/atom.

i.
! Ag2Sn2S3 GGA-PBE relaxed; values from VASP
&SYSTEM
  ibrav = 0, nat = 14, ntyp = 3
/
ATOMIC_SPECIES
Ag 107.87 Ag.upf
Sn 118.71 Sn.upf
S 32.06 S.upf
ATOMIC_POSITIONS crystal
Ag 0.446 0.274 0.846
Ag 0.946 0.274 0.654
Ag 0.054 0.726 0.346
Ag 0.554 0.726 0.154
Sn 0.642 0.726 0.661
Sn 0.142 0.726 0.839
Sn 0.858 0.274 0.161
Sn 0.358 0.274 0.339
S 0.000 0.000 0.500
S 0.500 0.000 0.000
S 0.836 0.610 0.077
S 0.664 0.390 0.577
S 0.336 0.610 0.423
S 0.164 0.390 0.923
CELL_PARAMETERS angstrom
6.742 -0.244 0.000
-3.308 6.656 0.000
0.000 0.000 8.144
! space group = No. 14
! volume = 358.9 Å³/cell

ii.
! Ag2Sn2S3 GGA-PBE relaxed; values from VASP
&SYSTEM
  ibrav = 0, nat = 7, ntyp = 3
/
ATOMIC_SPECIES
Ag 107.87 Ag.upf
Sn 118.71 Sn.upf
S 32.06 S.upf
ATOMIC_POSITIONS crystal
Ag 0.833 0.609 0.666
Ag 0.167 0.391 0.334
Sn 0.617 0.784 0.235
Sn 0.383 0.216 0.765
S 0.000 0.500 0.000
S 0.276 0.798 0.553
S 0.724 0.202 0.447
CELL_PARAMETERS angstrom
-3.278 1.687 -0.786
-3.165 -6.808 -1.409
0.778 0.394 6.637
! space group = No. 12
! volume = 176.7 Å³/cell

On energetic grounds, i is preferred over the next structure by 21 meV/atom.

i.
! SrAg3S GGA-PBE relaxed; values from VASP
&SYSTEM
  ibrav = 0, nat = 5, ntyp = 3
/
ATOMIC_SPECIES
Sr 87.62 Sr.upf
S 32.06 S.upf
Ag 107.87 Ag.upf
ATOMIC_POSITIONS crystal
Sr 0.000 0.000 0.000
S 0.500 0.500 0.500
Ag 0.000 0.500 0.000
Ag 0.000 0.000 0.500
Ag 0.500 0.000 0.000
CELL_PARAMETERS angstrom
5.668 0.000 0.000
0.000 5.668 0.000
0.000 0.000 5.668
! space group = No. 221
! volume = 182.1 Å³/cell

ii.
! SrAg3S GGA-PBE relaxed; values from VASP
&SYSTEM
  ibrav = 0, nat = 5, ntyp = 3
/
ATOMIC_SPECIES
Sr 87.62 Sr.upf
S 32.06 S.upf
Ag 107.87 Ag.upf
ATOMIC_POSITIONS crystal
Sr 0.500 0.500 0.500
S 0.000 0.000 0.000
Ag 0.000 0.500 0.000
Ag 0.000 0.000 0.500
Ag 0.500 0.000 0.000
CELL_PARAMETERS angstrom
-1.256 4.884 0.178
-2.108 -0.375 -4.570
-4.410 -1.212 2.133
! space group = No. 221
! volume = 128.5 Å³/cell

On energetic grounds, ii is preferred over the next structure by 1157 meV/atom.